InMo2Au | meta-GGA SCAN | PBEsol geometry

Computed properties:
DOS(E_F)   3.2 states/eV/f.u.
Energy of formation   0.37 eV/atom
Total magnetic moment   0.000 μB per atom

Lattice parameters (Å, degrees): 2.8671 2.8671 28.6463 90.00 90.00 120.00
Last column: nearest neighbours and their distance in Å.
Space group R3m (No. 160, hexagonal axes)
Asymmetric unit:
In1 0.0000 0.0000 0.0000 x3  6 In 2.87, 3 Mo 2.93, 3 Au 3.02
Mo1 0.0000 0.0000 0.4969 x3  9 Mo 2.80-2.87, 3 Au 2.87
Mo2 0.0000 0.0000 0.7512 x3  9 Mo 2.81-2.87, 3 In 2.93
Au1 0.0000 0.0000 0.2454 x3  6 Au 2.87, 3 Mo 2.87, 3 In 3.02



In2MoAu | meta-GGA SCAN | PBEsol geometry

Computed properties:
DOS(E_F)   1.6 states/eV/f.u.
Energy of formation   0.13 eV/atom
Energy above the lowest structure with this stoichiometry   0.006 eV per atom
Total magnetic moment   0.000 μB per atom

Lattice parameters (Å, degrees): 6.0785 8.0151 2.9945 90.00 90.00 90.00
Last column: nearest neighbours and their distance in Å.
Space group Cmmm (No. 65)
Asymmetric unit:
In1 0.2500 0.2500 0.0000 x4  4 Mo 2.93, 4 Au 2.93, 4 In 2.99-3.04
Mo1 0.0000 0.0000 0.5000 x2  8 In 2.93, 2 Mo 2.99, 2 Au 3.04
Au1 0.0000 0.5000 0.5000 x2  8 In 2.93, 2 Au 2.99, 2 Mo 3.04



In2MoAu | meta-GGA SCAN | PBEsol geometry

Computed properties:
DOS(E_F)   1.9 states/eV/f.u.
Energy of formation   0.12 eV/atom
Energy above the lowest structure with this stoichiometry   0.000 eV per atom
Total magnetic moment   0.000 μB per atom

Lattice parameters (Å, degrees): 10.6910 2.9847 5.0378 90.00 113.22 90.00
Last column: nearest neighbours and their distance in Å.
Space group Cm (No. 8)
Asymmetric unit:
In1 0.0000 0.0000 0.0000 x2  4 Mo 2.85-3.02, 3 Au 2.85-2.99, 3 In 2.98-3.00
In2 0.2258 0.0000 0.5905 x2  4 Au 2.90-2.99, 3 Mo 2.91, 5 In 2.98-3.21
Mo1 0.4795 0.0000 0.5033 x2  7 In 2.85-3.02, 2 Au 2.85, 2 Mo 2.98
Au1 0.2573 0.5000 0.1066 x2  7 In 2.85-2.99, 2 Mo 2.85, 2 Au 2.98



InMoAu2 | meta-GGA SCAN | PBEsol geometry

Computed properties:
DOS(E_F)   1.9 states/eV/f.u.
Energy of formation   0.20 eV/atom
Total magnetic moment   0.209 μB per atom

Lattice parameters (Å, degrees): 2.9111 4.9546 9.6974 90.00 90.00 90.00
Last column: nearest neighbours and their distance in Å.
Space group Imm2 (No. 44)
Asymmetric unit:
In1 0.0000 0.0000 0.0000 x2  6 Au 2.82-2.87, 2 Mo 2.86, 2 In 2.91
Mo1 0.0000 0.5000 0.7543 x2  6 Au 2.79-2.87, 2 In 2.86, 2 Mo 2.91
Au1 0.0000 0.0000 0.4994 x2  2 Mo 2.79, 4 Au 2.84-2.91, 4 In 2.87
Au2 0.0000 0.5000 0.2514 x2  2 In 2.82, 4 Au 2.84-2.91, 4 Mo 2.87



InAuN2 | meta-GGA SCAN | PBEsol geometry

Computed properties:
DOS(E_F)   0.9 states/eV/f.u.
Energy relative to the elements, uncorrected   0.99 eV per atom
Total magnetic moment   0.000 μB per atom

Lattice parameters (Å, degrees): 3.2021 3.2021 19.3666 90.00 90.00 120.00
Last column: nearest neighbours and their distance in Å.
Space group R-3m (No. 166, hexagonal axes)
Asymmetric unit:
In1 0.0000 0.0000 0.0000 x3  2 N 2.23
Au1 0.0000 0.0000 0.5000 x3  6 N 2.10
N1 0.0000 0.0000 0.1153 x6  3 Au 2.10, 1 In 2.23



InAuN2 | meta-GGA SCAN | PBEsol geometry

Computed properties:
DOS(E_F)   2.6 states/eV/f.u.
Energy relative to the elements, uncorrected   0.76 eV per atom
Total magnetic moment   0.000 μB per atom

Lattice parameters (Å, degrees): 3.3097 3.3097 18.5419 90.00 90.00 120.00
Last column: nearest neighbours and their distance in Å.
Space group R-3m (No. 166, hexagonal axes)
Asymmetric unit:
In1 0.0000 0.0000 0.0000 x3  6 N 2.24
Au1 0.0000 0.0000 0.5000 x3  2 N 1.92
N1 0.0000 0.0000 0.3964 x6  1 Au 1.92



Repeat the fifth record exactly.
InAuN2 | meta-GGA SCAN | PBEsol geometry

Computed properties:
DOS(E_F)   0.9 states/eV/f.u.
Energy relative to the elements, uncorrected   0.99 eV per atom
Total magnetic moment   0.000 μB per atom

Lattice parameters (Å, degrees): 3.2021 3.2021 19.3666 90.00 90.00 120.00
Last column: nearest neighbours and their distance in Å.
Space group R-3m (No. 166, hexagonal axes)
Asymmetric unit:
In1 0.0000 0.0000 0.0000 x3  2 N 2.23
Au1 0.0000 0.0000 0.5000 x3  6 N 2.10
N1 0.0000 0.0000 0.1153 x6  3 Au 2.10, 1 In 2.23



What did the second record say?
In2MoAu | meta-GGA SCAN | PBEsol geometry

Computed properties:
DOS(E_F)   1.6 states/eV/f.u.
Energy of formation   0.13 eV/atom
Energy above the lowest structure with this stoichiometry   0.006 eV per atom
Total magnetic moment   0.000 μB per atom

Lattice parameters (Å, degrees): 6.0785 8.0151 2.9945 90.00 90.00 90.00
Last column: nearest neighbours and their distance in Å.
Space group Cmmm (No. 65)
Asymmetric unit:
In1 0.2500 0.2500 0.0000 x4  4 Mo 2.93, 4 Au 2.93, 4 In 2.99-3.04
Mo1 0.0000 0.0000 0.5000 x2  8 In 2.93, 2 Mo 2.99, 2 Au 3.04
Au1 0.0000 0.5000 0.5000 x2  8 In 2.93, 2 Au 2.99, 2 Mo 3.04